The following is a DFT calculation (PBE) of crystalline Li3Zr4P6O24 at its relaxed geometry.

```
data_Li3Zr4P6O24
_cell_length_a 9.001
_cell_length_b 9.009
_cell_length_c 9.015
_cell_angle_alpha 119.86
_cell_angle_beta 91.29
_cell_angle_gamma 118.47
_symmetry_space_group_name_H-M 'P 1'
_symmetry_Int_Tables_number 1
loop_
_symmetry_equiv_pos_as_xyz
'x,y,z'
loop_
_atom_site_label
_atom_site_type_symbol
_atom_site_fract_x
_atom_site_fract_y
_atom_site_fract_z
_atom_site_occupancy
Li1 Li 0.000 0.000 0.000 1
Li2 Li 0.140 0.650 0.508 1
Li3 Li 0.639 0.735 0.126 1
Zr1 Zr 0.181 0.589 0.141 1
Zr2 Zr 0.459 0.148 0.980 1
Zr3 Zr 0.672 0.575 0.637 1
Zr4 Zr 0.955 0.154 0.490 1
P1 P 0.072 0.658 0.802 1
P2 P 0.266 0.355 0.307 1
P3 P 0.365 0.380 0.823 1
P4 P 0.559 0.075 0.316 1
P5 P 0.790 0.082 0.818 1
P6 P 0.848 0.651 0.312 1
O1 O 0.010 0.458 0.612 1
O2 O 0.024 0.659 0.310 1
O3 O 0.086 0.193 0.302 1
O4 O 0.124 0.649 0.958 1
O5 O 0.204 0.283 0.665 1
O6 O 0.230 0.833 0.798 1
O7 O 0.248 0.527 0.327 1
O8 O 0.283 0.228 0.121 1
O9 O 0.357 0.519 0.013 1
O10 O 0.372 0.208 0.811 1
O11 O 0.394 0.900 0.310 1
O12 O 0.428 0.461 0.469 1
O13 O 0.511 0.082 0.156 1
O14 O 0.547 0.536 0.826 1
O15 O 0.615 0.069 0.836 1
O16 O 0.628 0.284 0.498 1
O17 O 0.685 0.453 0.141 1
O18 O 0.706 0.028 0.299 1
O19 O 0.779 0.902 0.814 1
O20 O 0.814 0.071 0.646 1
O21 O 0.816 0.660 0.483 1
O22 O 0.865 0.832 0.314 1
O23 O 0.923 0.701 0.825 1
O24 O 0.956 0.283 0.985 1
```

Summary:
Space-group type: No. 1
Total magnetic moment, μB per atom: 0.030
Electronic total energy, Ry/atom: -0.5735
Fermi-level density of states, states/eV/cell: 5.72
Formation energy from raw total energies, kJ/mol of formula units: -9389
Volume, Å³/cell: 523.9



The following is a DFT calculation (PBE) of crystalline Li3Pa4O12 at its relaxed geometry.

```
data_Li3Pa4O12
_cell_length_a 7.080
_cell_length_b 7.080
_cell_length_c 7.080
_cell_angle_alpha 109.47
_cell_angle_beta 109.47
_cell_angle_gamma 109.47
_symmetry_space_group_name_H-M 'P 1'
_symmetry_Int_Tables_number 1
loop_
_symmetry_equiv_pos_as_xyz
'x,y,z'
loop_
_atom_site_label
_atom_site_type_symbol
_atom_site_fract_x
_atom_site_fract_y
_atom_site_fract_z
_atom_site_occupancy
Li1 Li 0.000 0.500 0.500 1
Li2 Li 0.500 0.000 0.500 1
Li3 Li 0.500 0.500 0.000 1
Pa1 Pa 0.000 0.000 0.500 1
Pa2 Pa 0.000 0.500 0.000 1
Pa3 Pa 0.500 0.000 0.000 1
Pa4 Pa 0.500 0.500 0.500 1
O1 O 0.131 0.314 0.817 1
O2 O 0.183 0.497 0.314 1
O3 O 0.183 0.869 0.686 1
O4 O 0.314 0.183 0.497 1
O5 O 0.314 0.817 0.131 1
O6 O 0.497 0.314 0.183 1
O7 O 0.503 0.686 0.817 1
O8 O 0.686 0.183 0.869 1
O9 O 0.686 0.817 0.503 1
O10 O 0.817 0.131 0.314 1
O11 O 0.817 0.503 0.686 1
O12 O 0.869 0.686 0.183 1
```

Summary:
Space-group type: No. 204
Total magnetic moment, μB per atom: 0.000
Electronic total energy, Ry/atom: -0.6262
Fermi-level density of states, states/eV/cell: 23.14
Formation energy from raw total energies, kJ/mol of formula units: -5658
Volume, Å³/cell: 273.1



The following is a DFT calculation (PBE) of crystalline LiPaO3 at its relaxed geometry.

```
data_LiPaO3
_cell_length_a 5.765
_cell_length_b 7.472
_cell_length_c 5.235
_cell_angle_alpha 90.00
_cell_angle_beta 90.00
_cell_angle_gamma 90.00
_symmetry_space_group_name_H-M 'P 1'
_symmetry_Int_Tables_number 1
loop_
_symmetry_equiv_pos_as_xyz
'x,y,z'
loop_
_atom_site_label
_atom_site_type_symbol
_atom_site_fract_x
_atom_site_fract_y
_atom_site_fract_z
_atom_site_occupancy
Li1 Li 0.000 0.000 0.000 1
Li2 Li 0.000 0.500 0.000 1
Li3 Li 0.500 0.000 0.500 1
Li4 Li 0.500 0.500 0.500 1
Pa1 Pa 0.095 0.250 0.471 1
Pa2 Pa 0.405 0.750 0.971 1
Pa3 Pa 0.595 0.250 0.029 1
Pa4 Pa 0.905 0.750 0.529 1
O1 O 0.066 0.750 0.150 1
O2 O 0.170 0.571 0.679 1
O3 O 0.170 0.929 0.679 1
O4 O 0.330 0.071 0.179 1
O5 O 0.330 0.429 0.179 1
O6 O 0.434 0.250 0.650 1
O7 O 0.566 0.750 0.350 1
O8 O 0.670 0.571 0.821 1
O9 O 0.670 0.929 0.821 1
O10 O 0.830 0.071 0.321 1
O11 O 0.830 0.429 0.321 1
O12 O 0.934 0.250 0.850 1
```

Summary:
Space-group type: No. 62
Total magnetic moment, μB per atom: 0.000
Electronic total energy, Ry/atom: -0.6153
Fermi-level density of states, states/eV/cell: 0.00
Formation energy from raw total energies, kJ/mol of formula units: -1502
Volume, Å³/cell: 225.5



The following is a DFT calculation (PBE) of crystalline Li2PaO4 at its relaxed geometry.

```
data_Li2PaO4
_cell_length_a 5.512
_cell_length_b 5.512
_cell_length_c 3.672
_cell_angle_alpha 90.00
_cell_angle_beta 90.00
_cell_angle_gamma 135.07
_symmetry_space_group_name_H-M 'P 1'
_symmetry_Int_Tables_number 1
loop_
_symmetry_equiv_pos_as_xyz
'x,y,z'
loop_
_atom_site_label
_atom_site_type_symbol
_atom_site_fract_x
_atom_site_fract_y
_atom_site_fract_z
_atom_site_occupancy
Li1 Li 0.176 0.824 0.000 1
Li2 Li 0.824 0.176 0.000 1
Pa1 Pa 0.500 0.500 0.500 1
O1 O 0.104 0.896 0.500 1
O2 O 0.372 0.628 0.000 1
O3 O 0.628 0.372 0.000 1
O4 O 0.896 0.104 0.500 1
```

Summary:
Space-group type: No. 65
Total magnetic moment, μB per atom: 0.143
Electronic total energy, Ry/atom: -0.5376
Fermi-level density of states, states/eV/cell: 0.02
Formation energy from raw total energies, kJ/mol of formula units: -1741
Distance to the lowest polymorph of the same formula, meV/atom: 0
Volume, Å³/cell: 78.8



The following is a DFT calculation (PBE) of crystalline LiPaO3 at its relaxed geometry.

```
data_LiPaO3
_cell_length_a 4.338
_cell_length_b 4.338
_cell_length_c 4.338
_cell_angle_alpha 90.00
_cell_angle_beta 90.00
_cell_angle_gamma 90.00
_symmetry_space_group_name_H-M 'P 1'
_symmetry_Int_Tables_number 1
loop_
_symmetry_equiv_pos_as_xyz
'x,y,z'
loop_
_atom_site_label
_atom_site_type_symbol
_atom_site_fract_x
_atom_site_fract_y
_atom_site_fract_z
_atom_site_occupancy
Li1 Li 0.000 0.000 0.000 1
Pa1 Pa 0.500 0.500 0.500 1
O1 O 0.000 0.500 0.500 1
O2 O 0.500 0.000 0.500 1
O3 O 0.500 0.500 0.000 1
```

Summary:
Space-group type: No. 221
Total magnetic moment, μB per atom: 0.000
Electronic total energy, Ry/atom: -0.6016
Fermi-level density of states, states/eV/cell: 0.00
Formation energy from raw total energies, kJ/mol of formula units: -1413
Volume, Å³/cell: 81.6



The following is a DFT calculation (PBE) of crystalline Li3PaO6 at its relaxed geometry.

```
data_Li3PaO6
_cell_length_a 5.711
_cell_length_b 5.711
_cell_length_c 3.552
_cell_angle_alpha 90.00
_cell_angle_beta 90.00
_cell_angle_gamma 90.14
_symmetry_space_group_name_H-M 'P 1'
_symmetry_Int_Tables_number 1
loop_
_symmetry_equiv_pos_as_xyz
'x,y,z'
loop_
_atom_site_label
_atom_site_type_symbol
_atom_site_fract_x
_atom_site_fract_y
_atom_site_fract_z
_atom_site_occupancy
Li1 Li 0.000 0.000 0.000 1
Li2 Li 0.000 0.500 0.500 1
Li3 Li 0.500 0.000 0.500 1
Pa1 Pa 0.500 0.500 0.000 1
O1 O 0.130 0.683 0.000 1
O2 O 0.317 0.870 0.000 1
O3 O 0.338 0.338 0.500 1
O4 O 0.662 0.662 0.500 1
O5 O 0.683 0.130 0.000 1
O6 O 0.870 0.317 0.000 1
```

Summary:
Space-group type: No. 65
Total magnetic moment, μB per atom: 0.000
Electronic total energy, Ry/atom: -0.4837
Fermi-level density of states, states/eV/cell: 0.00
Formation energy from raw total energies, kJ/mol of formula units: -2009
Volume, Å³/cell: 115.9



The following is a DFT calculation (PBE) of crystalline Li2PaO4 at its relaxed geometry.

```
data_Li2PaO4
_cell_length_a 6.244
_cell_length_b 6.244
_cell_length_c 6.244
_cell_angle_alpha 120.42
_cell_angle_beta 110.27
_cell_angle_gamma 98.47
_symmetry_space_group_name_H-M 'P 1'
_symmetry_Int_Tables_number 1
loop_
_symmetry_equiv_pos_as_xyz
'x,y,z'
loop_
_atom_site_label
_atom_site_type_symbol
_atom_site_fract_x
_atom_site_fract_y
_atom_site_fract_z
_atom_site_occupancy
Li1 Li 0.000 0.000 0.500 1
Li2 Li 0.000 0.500 0.000 1
Li3 Li 0.370 0.120 0.250 1
Li4 Li 0.630 0.880 0.750 1
Pa1 Pa 0.000 0.500 0.500 1
Pa2 Pa 0.500 0.500 0.000 1
O1 O 0.226 0.744 0.481 1
O2 O 0.237 0.256 0.981 1
O3 O 0.251 0.282 0.531 1
O4 O 0.251 0.720 0.969 1
O5 O 0.749 0.280 0.031 1
O6 O 0.749 0.718 0.469 1
O7 O 0.763 0.744 0.019 1
O8 O 0.774 0.256 0.519 1
```

Summary:
Space-group type: No. 74
Total magnetic moment, μB per atom: 0.011
Electronic total energy, Ry/atom: -0.5341
Fermi-level density of states, states/eV/cell: 7.45
Formation energy from raw total energies, kJ/mol of formula units: -1709
Distance to the lowest polymorph of the same formula, meV/atom: 47
Volume, Å³/cell: 180.5



The following is a DFT calculation (PBE) of crystalline LiPaO3 at its relaxed geometry.

```
data_LiPaO3
_cell_length_a 5.276
_cell_length_b 5.276
_cell_length_c 3.589
_cell_angle_alpha 90.00
_cell_angle_beta 90.00
_cell_angle_gamma 128.42
_symmetry_space_group_name_H-M 'P 1'
_symmetry_Int_Tables_number 1
loop_
_symmetry_equiv_pos_as_xyz
'x,y,z'
loop_
_atom_site_label
_atom_site_type_symbol
_atom_site_fract_x
_atom_site_fract_y
_atom_site_fract_z
_atom_site_occupancy
Li1 Li 0.000 0.000 0.000 1
Pa1 Pa 0.500 0.500 0.500 1
O1 O 0.000 0.000 0.500 1
O2 O 0.370 0.630 0.000 1
O3 O 0.630 0.370 0.000 1
```

Summary:
Space-group type: No. 65
Total magnetic moment, μB per atom: 0.000
Electronic total energy, Ry/atom: -0.5965
Fermi-level density of states, states/eV/cell: 0.00
Formation energy from raw total energies, kJ/mol of formula units: -1380
Volume, Å³/cell: 78.3



The following is a DFT calculation (PBE) of crystalline Li4Pa3PbO12 at its relaxed geometry.

```
data_Li4Pa3PbO12
_cell_length_a 6.980
_cell_length_b 6.980
_cell_length_c 6.980
_cell_angle_alpha 106.51
_cell_angle_beta 106.51
_cell_angle_gamma 106.51
_symmetry_space_group_name_H-M 'P 1'
_symmetry_Int_Tables_number 1
loop_
_symmetry_equiv_pos_as_xyz
'x,y,z'
loop_
_atom_site_label
_atom_site_type_symbol
_atom_site_fract_x
_atom_site_fract_y
_atom_site_fract_z
_atom_site_occupancy
Li1 Li 0.000 0.000 0.000 1
Li2 Li 0.000 0.449 0.551 1
Li3 Li 0.449 0.551 0.000 1
Li4 Li 0.551 0.000 0.449 1
Pa1 Pa 0.049 0.951 0.500 1
Pa2 Pa 0.500 0.049 0.951 1
Pa3 Pa 0.951 0.500 0.049 1
Pb1 Pb 0.500 0.500 0.500 1
O1 O 0.000 0.613 0.387 1
O2 O 0.000 0.839 0.161 1
O3 O 0.161 0.000 0.839 1
O4 O 0.184 0.284 0.523 1
O5 O 0.284 0.523 0.184 1
O6 O 0.387 0.000 0.613 1
O7 O 0.477 0.716 0.816 1
O8 O 0.523 0.184 0.284 1
O9 O 0.613 0.387 0.000 1
O10 O 0.716 0.816 0.477 1
O11 O 0.816 0.477 0.716 1
O12 O 0.839 0.161 0.000 1
```

Summary:
Space-group type: No. 155
Total magnetic moment, μB per atom: 0.000
Electronic total energy, Ry/atom: -0.5464
Fermi-level density of states, states/eV/cell: 8.57
Formation energy from raw total energies, kJ/mol of formula units: -4761
Volume, Å³/cell: 286.9



electronic total energy of number 7 (Li2PaO4)?
-0.5341 Ry/atom



Among the records above, which one has the highest total magnetic moment?
number 4